No. 1
A relaxed PaTiBi2O8 crystal. Source: the Alexandria database, functional PBE-GGA.

a = 5.1116 Å, b = 5.1065 Å, c = 6.8142 Å
α = 90.00°, β = 90.00°, γ = 90.45°
Fractional coordinates of all 12 atoms:
1 O 0.6986 0.7010 0.5000
2 O 0.7269 0.7289 0.0000
3 O 0.8249 0.1771 0.7652
4 O 0.8249 0.1771 0.2348
5 O 0.2731 0.2711 0.0000
6 O 0.1751 0.8229 0.7652
7 O 0.1751 0.8229 0.2348
8 O 0.3014 0.2990 0.5000
9 Bi 0.5000 0.5000 0.2365
10 Bi 0.5000 0.5000 0.7635
11 Pa 0.0000 0.0000 0.5000
12 Ti 0.0000 0.0000 0.0000

Properties
crystal system: monoclinic
spin magnetization: 0.00 μB per atom
space-group type: P2/m, No. 10
formation energy (no corrections): -26.89 eV/f.u.

No. 2
A relaxed KMgTc crystal. Source: the Alexandria database, functional PBE-GGA.

a = 5.1703 Å, b = 5.1703 Å, c = 5.1703 Å
α = 60.00°, β = 60.00°, γ = 60.00°
Fractional coordinates of all 3 atoms:
1 Mg 0.0000 0.0000 0.0000
2 Tc 0.5000 0.5000 0.5000
3 K 0.7500 0.7500 0.7500

Properties
crystal system: cubic
spin magnetization: 1.08 μB per atom
space-group type: F-43m, No. 216
polymorph energy (0 for the lowest one): 1088 meV/atom
formation enthalpy at 0 K: 1.907 eV/atom

No. 3
A relaxed Nd14PuSc crystal. Source: the Alexandria database, functional PBE-GGA.

a = 7.3351 Å, b = 7.3351 Å, c = 11.7640 Å
α = 89.99°, β = 90.01°, γ = 119.69°
Fractional coordinates of all 16 atoms:
1 Nd 0.6658 0.8381 0.2393
2 Nd 0.1619 0.3342 0.2393
3 Nd 0.1671 0.8329 0.2457
4 Nd 0.1673 0.8327 0.7541
5 Nd 0.8333 0.1667 0.5001
6 Nd 0.6656 0.3344 0.7506
7 Nd 0.8348 0.6589 0.9998
8 Nd 0.6659 0.3341 0.2490
9 Nd 0.1614 0.3339 0.7611
10 Nd 0.3357 0.6643 0.5000
11 Nd 0.3317 0.1645 0.4999
12 Nd 0.6661 0.8386 0.7611
13 Nd 0.3411 0.1652 0.9998
14 Nd 0.8355 0.6683 0.4999
15 Pu 0.8317 0.1683 0.0002
16 Sc 0.3353 0.6647 0.0001

Properties
crystal system: monoclinic
spin magnetization: 0.41 μB per atom
space-group type: Cm, No. 8
formation enthalpy at 0 K: 0.065 eV/atom

No. 4
A relaxed PrNdCdAu crystal. Source: the Alexandria database, functional PBE-GGA.

a = 3.8028 Å, b = 3.8028 Å, c = 7.5761 Å
α = 90.00°, β = 90.00°, γ = 90.00°
Fractional coordinates of all 4 atoms:
1 Nd 0.0000 0.0000 0.3425
2 Cd 0.5000 0.5000 0.6036
3 Au 0.5000 0.5000 0.1122
4 Pr 0.0000 0.0000 0.8696

Properties
crystal system: tetragonal
spin magnetization: 0.00 μB per atom
space-group type: P4mm, No. 99
polymorph energy (0 for the lowest one): 0 meV/atom
formation enthalpy at 0 K: -0.534 eV/atom

No. 5
A relaxed Pd5PbAu crystal. Source: the Alexandria database, functional PBE-GGA.

a = 3.9649 Å, b = 3.9650 Å, c = 8.0585 Å
α = 90.00°, β = 90.00°, γ = 90.00°
Fractional coordinates of all 7 atoms:
1 Pd 0.0000 0.5000 0.2452
2 Pd 0.0000 0.5000 0.7548
3 Pd 0.5000 0.5000 0.5000
4 Pd 0.5000 0.0000 0.7548
5 Pd 0.5000 0.0000 0.2452
6 Pb 0.5000 0.5000 0.0000
7 Au 0.0000 0.0000 0.5000

Properties
crystal system: tetragonal
spin magnetization: 0.00 μB per atom
space-group type: P4/mmm, No. 123
formation enthalpy at 0 K: -0.097 eV/atom

No. 6
A relaxed TlCoAu2 crystal. Source: the Alexandria database, functional PBE-GGA.

a = 4.6807 Å, b = 4.6807 Å, c = 4.6807 Å
α = 60.00°, β = 60.00°, γ = 60.00°
Fractional coordinates of all 4 atoms:
1 Au 0.7500 0.7500 0.7500
2 Au 0.2500 0.2500 0.2500
3 Tl 0.5000 0.5000 0.5000
4 Co 0.0000 0.0000 0.0000

Properties
crystal system: cubic
spin magnetization: 0.43 μB per atom
space-group type: Fm-3m, No. 225
polymorph energy (0 for the lowest one): 159 meV/atom
formation enthalpy at 0 K: 0.406 eV/atom

In the order shown, the computed Fermi-level density of states values come out to 5.48, 4.00, 31.18, 3.70, 4.62, 4.80 states/eV per cell.